No. 1
# MnCr2In PBE-GGA optimized geometry
data_MnCr2In
_chemical_formula_sum 'Mn3 Cr6 In3'
_cell_length_a 2.9374
_cell_length_b 2.9374
_cell_length_c 24.7820
_cell_angle_alpha 90.00
_cell_angle_beta 90.00
_cell_angle_gamma 120.00
_symmetry_space_group_name_H-M 'R 3 m'
_symmetry_Int_Tables_number 160
_symmetry_space_group_name_Hall 'R 3 -2"'
loop_
_atom_site_label
_atom_site_type_symbol
_atom_site_fract_x
_atom_site_fract_y
_atom_site_fract_z
_atom_site_occupancy
Mn1 Mn 0.0000 0.0000 0.0000 1
Cr1 Cr 0.0000 0.0000 0.4757 1
Cr2 Cr 0.0000 0.0000 0.7409 1
In1 In 0.0000 0.0000 0.2381 1
# - Total DFT energy (no corrections): -7.3485 eV/atom

***

No. 2
# MnCr2In PBE-GGA optimized geometry
data_MnCr2In
_chemical_formula_sum 'Mn3 Cr6 In3'
_cell_length_a 2.9527
_cell_length_b 2.9527
_cell_length_c 24.9846
_cell_angle_alpha 90.00
_cell_angle_beta 90.00
_cell_angle_gamma 120.00
_symmetry_space_group_name_H-M 'R -3 m'
_symmetry_Int_Tables_number 166
_symmetry_space_group_name_Hall '-R 3 2"'
loop_
_atom_site_label
_atom_site_type_symbol
_atom_site_fract_x
_atom_site_fract_y
_atom_site_fract_z
_atom_site_occupancy
Mn1 Mn 0.0000 0.0000 0.0000 1
Cr1 Cr 0.0000 0.0000 0.2620 1
In1 In 0.0000 0.0000 0.5000 1
# - Total DFT energy (no corrections): -7.3042 eV/atom

***

No. 3
# MnCr3In PBE-GGA optimized geometry
data_MnCr3In
_chemical_formula_sum 'Mn1 Cr3 In1'
_cell_length_a 5.093
_cell_length_b 5.093
_cell_length_c 5.093
_cell_angle_alpha 90.00
_cell_angle_beta 90.00
_cell_angle_gamma 90.00
_symmetry_space_group_name_H-M 'P m -3 m'
_symmetry_Int_Tables_number 221
_symmetry_space_group_name_Hall '-P 4 2 3'
loop_
_atom_site_label
_atom_site_type_symbol
_atom_site_fract_x
_atom_site_fract_y
_atom_site_fract_z
_atom_site_occupancy
Mn1 Mn 0.000 0.000 0.000 1
Cr1 Cr 0.000 0.500 0.500 1
In1 In 0.500 0.500 0.500 1
# - Total DFT energy (no corrections): -6.3471 eV/atom

***

No. 4
# MnCr2In PBE-GGA optimized geometry
data_MnCr2In
_chemical_formula_sum 'Mn1 Cr2 In1'
_cell_length_a 3.702
_cell_length_b 3.702
_cell_length_c 4.142
_cell_angle_alpha 90.00
_cell_angle_beta 90.00
_cell_angle_gamma 90.00
_symmetry_space_group_name_H-M 'P 4/m m m'
_symmetry_Int_Tables_number 123
_symmetry_space_group_name_Hall '-P 4 2'
loop_
_atom_site_label
_atom_site_type_symbol
_atom_site_fract_x
_atom_site_fract_y
_atom_site_fract_z
_atom_site_occupancy
Mn1 Mn 0.000 0.000 0.000 1
Cr1 Cr 0.000 0.500 0.500 1
In1 In 0.500 0.500 0.000 1
# - Total DFT energy (no corrections): -7.3320 eV/atom

***

No. 5
# MnCr2In PBE-GGA optimized geometry
data_MnCr2In
_chemical_formula_sum 'Mn4 Cr8 In4'
_cell_length_a 6.302
_cell_length_b 6.302
_cell_length_c 6.302
_cell_angle_alpha 90.00
_cell_angle_beta 90.00
_cell_angle_gamma 90.00
_symmetry_space_group_name_H-M 'F -4 3 m'
_symmetry_Int_Tables_number 216
_symmetry_space_group_name_Hall 'F -4 2 3'
loop_
_atom_site_label
_atom_site_type_symbol
_atom_site_fract_x
_atom_site_fract_y
_atom_site_fract_z
_atom_site_occupancy
Mn1 Mn 0.000 0.000 0.000 1
Cr1 Cr 0.000 0.000 0.500 1
Cr2 Cr 0.250 0.250 0.750 1
In1 In 0.250 0.250 0.250 1
# - Total DFT energy (no corrections): -7.4769 eV/atom

***

No. 6
# Mn2CrIn PBE-GGA optimized geometry
data_Mn2CrIn
_chemical_formula_sum 'Mn2 Cr1 In1'
_cell_length_a 4.028
_cell_length_b 4.028
_cell_length_c 3.729
_cell_angle_alpha 90.00
_cell_angle_beta 90.00
_cell_angle_gamma 90.00
_symmetry_space_group_name_H-M 'P 4/m m m'
_symmetry_Int_Tables_number 123
_symmetry_space_group_name_Hall '-P 4 2'
loop_
_atom_site_label
_atom_site_type_symbol
_atom_site_fract_x
_atom_site_fract_y
_atom_site_fract_z
_atom_site_occupancy
Mn1 Mn 0.000 0.500 0.000 1
Cr1 Cr 0.000 0.000 0.500 1
In1 In 0.500 0.500 0.500 1
# - Total DFT energy (no corrections): -7.3950 eV/atom

***

No. 7
# Mn2CrIn PBE-GGA optimized geometry
data_Mn2CrIn
_chemical_formula_sum 'Mn4 Cr2 In2'
_cell_length_a 5.675
_cell_length_b 7.257
_cell_length_c 2.931
_cell_angle_alpha 90.00
_cell_angle_beta 90.00
_cell_angle_gamma 90.00
_symmetry_space_group_name_H-M 'C m m m'
_symmetry_Int_Tables_number 65
_symmetry_space_group_name_Hall '-C 2 2'
loop_
_atom_site_label
_atom_site_type_symbol
_atom_site_fract_x
_atom_site_fract_y
_atom_site_fract_z
_atom_site_occupancy
Mn1 Mn 0.250 0.250 0.000 1
Cr1 Cr 0.000 0.000 0.500 1
In1 In 0.000 0.500 0.500 1
# - Total DFT energy (no corrections): -7.3813 eV/atom

***

No. 8
# Mn2CrIn PBE-GGA optimized geometry
data_Mn2CrIn
_chemical_formula_sum 'Mn4 Cr2 In2'
_cell_length_a 3.856
_cell_length_b 3.856
_cell_length_c 8.242
_cell_angle_alpha 90.00
_cell_angle_beta 90.00
_cell_angle_gamma 90.00
_symmetry_space_group_name_H-M 'I -4 m 2'
_symmetry_Int_Tables_number 119
_symmetry_space_group_name_Hall 'I -4 -2'
loop_
_atom_site_label
_atom_site_type_symbol
_atom_site_fract_x
_atom_site_fract_y
_atom_site_fract_z
_atom_site_occupancy
Mn1 Mn 0.000 0.000 0.000 1
Mn2 Mn 0.000 0.500 0.250 1
Cr1 Cr 0.000 0.500 0.750 1
In1 In 0.000 0.000 0.500 1
# - Total DFT energy (no corrections): -7.4092 eV/atom

***

Q: Look up the total DFT energy (no corrections) of the first one.
A: -7.3485 eV/atom

***

Q: What is the total DFT energy (no corrections) in the first record?
A: -7.3485 eV/atom

***

Q: Look up the total DFT energy (no corrections) of the first one.
A: -7.3485 eV/atom

***

Please write out number 6 again, unchanged.
# Mn2CrIn PBE-GGA optimized geometry
data_Mn2CrIn
_chemical_formula_sum 'Mn2 Cr1 In1'
_cell_length_a 4.028
_cell_length_b 4.028
_cell_length_c 3.729
_cell_angle_alpha 90.00
_cell_angle_beta 90.00
_cell_angle_gamma 90.00
_symmetry_space_group_name_H-M 'P 4/m m m'
_symmetry_Int_Tables_number 123
_symmetry_space_group_name_Hall '-P 4 2'
loop_
_atom_site_label
_atom_site_type_symbol
_atom_site_fract_x
_atom_site_fract_y
_atom_site_fract_z
_atom_site_occupancy
Mn1 Mn 0.000 0.500 0.000 1
Cr1 Cr 0.000 0.000 0.500 1
In1 In 0.500 0.500 0.500 1
# - Total DFT energy (no corrections): -7.3950 eV/atom